(1)
Density functional theory data (GGA-PBE) for a geometry-optimized Al2Si2Bi structure.

a = 7.976 Å, b = 7.976 Å, c = 3.042 Å
α = 90.00°, β = 90.00°, γ = 90.00°
Space group P4/mbm (No. 127)
One atom of each set of equivalent atoms:
Al 0.138 0.362 0.000
Si 0.152 0.652 0.500
Bi 0.000 0.000 0.500

Summary:
* formation energy (no corrections): 0.30 eV per atom

---

(2)
Density functional theory data (GGA-PBE) for a geometry-optimized Tm3ZnCu2 structure.

a = 3.451 Å, b = 3.451 Å, c = 10.356 Å
α = 90.00°, β = 90.00°, γ = 90.00°
Space group P4/mmm (No. 123)
One atom of each set of equivalent atoms:
Tm 0.000 0.000 0.000
Tm 0.000 0.000 0.328
Zn 0.500 0.500 0.500
Cu 0.500 0.500 0.167

Summary:
* ΔE_f: -30 kJ/mol of atoms

---

(3)
Density functional theory data (GGA-PBE) for a geometry-optimized AlCu3 structure.

a = 5.852 Å, b = 5.852 Å, c = 5.852 Å
α = 90.00°, β = 90.00°, γ = 90.00°
Space group Fm-3m (No. 225)
One atom of each set of equivalent atoms:
Al 0.000 0.000 0.000
Cu 0.000 0.000 0.500
Cu 0.250 0.250 0.250

Summary:
* ΔE_f: -16 kJ/mol of atoms

---

(4)
Density functional theory data (GGA-PBE) for a geometry-optimized La4TbDy10 structure.

a = 9.802 Å, b = 9.802 Å, c = 10.696 Å
α = 90.00°, β = 90.00°, γ = 90.00°
Space group I4/m (No. 87)
One atom of each set of equivalent atoms:
La 0.065 0.666 0.000
Tb 0.000 0.000 0.000
Dy 0.000 0.500 0.250
Dy 0.114 0.791 0.340

Summary:
* ΔE_f: 34 kJ/mol of atoms

---

Which formula does entry 3 have?
AlCu3